# 1
A plane-wave DFT calculation with PBE was carried out for Fe2TcW after structural relaxation.

a = 8.6160 Å, b = 8.6160 Å, c = 8.6160 Å
α = 18.32°, β = 18.32°, γ = 18.32°
Sites, in units of the cell vectors:
Fe 0.0000 0.0000 0.0000
Fe 0.2596 0.2596 0.2596
Tc 0.7485 0.7485 0.7485
W 0.5070 0.5070 0.5070

Calculated total energy ... -9.7992 eV/atom
ΔE_f ... 0.262 eV per atom
SG ... No. 160

# 2
A plane-wave DFT calculation with PBE was carried out for Fe2TcW after structural relaxation.

a = 2.6067 Å, b = 2.6067 Å, c = 8.4602 Å
α = 90.00°, β = 90.00°, γ = 107.28°
Sites, in units of the cell vectors:
Fe 0.0000 0.0000 0.2473
Fe 0.0000 0.0000 0.7527
Tc 0.5000 0.5000 0.0000
W 0.5000 0.5000 0.5000

Calculated total energy ... -9.8988 eV/atom
ΔE_f ... 0.162 eV per atom
SG ... No. 65

# 3
A plane-wave DFT calculation with PBE was carried out for Fe2TcW after structural relaxation.

a = 4.5248 Å, b = 4.5248 Å, c = 2.6643 Å
α = 90.00°, β = 90.00°, γ = 108.22°
Sites, in units of the cell vectors:
Fe 0.0000 0.5000 0.0000
Fe 0.5000 0.0000 0.0000
Tc 0.0000 0.0000 0.5000
W 0.5000 0.5000 0.5000

Calculated total energy ... -9.9365 eV/atom
ΔE_f ... 0.125 eV per atom
SG ... No. 65

# 4
A plane-wave DFT calculation with PBE was carried out for Fe2TcW after structural relaxation.

a = 2.6094 Å, b = 4.2411 Å, c = 4.9846 Å
α = 90.00°, β = 99.20°, γ = 90.00°
Sites, in units of the cell vectors:
Fe 0.0000 0.0000 0.0000
Fe 0.2085 0.5000 0.7677
Tc 0.7114 0.5000 0.2476
W 0.4804 0.0000 0.5160

Calculated total energy ... -9.9722 eV/atom
ΔE_f ... 0.089 eV per atom
SG ... No. 6

# 5
A plane-wave DFT calculation with PBE was carried out for Fe2TcW2 after structural relaxation.

a = 6.8806 Å, b = 6.8806 Å, c = 2.8885 Å
α = 90.00°, β = 90.00°, γ = 90.00°
Sites, in units of the cell vectors:
Fe 0.1273 0.3727 0.0000
Fe 0.3727 0.8727 0.0000
Fe 0.6273 0.1273 0.0000
Fe 0.8727 0.6273 0.0000
Tc 0.0000 0.0000 0.0000
Tc 0.5000 0.5000 0.0000
W 0.1723 0.6723 0.5000
W 0.3277 0.1723 0.5000
W 0.6723 0.8277 0.5000
W 0.8277 0.3277 0.5000

Calculated total energy ... -10.4396 eV/atom
ΔE_f ... 0.200 eV per atom
SG ... No. 127

# 6
A plane-wave DFT calculation with PBE was carried out for Fe2TcW after structural relaxation.

a = 8.7874 Å, b = 8.7874 Å, c = 8.7874 Å
α = 17.56°, β = 17.56°, γ = 17.56°
Sites, in units of the cell vectors:
Fe 0.2477 0.2477 0.2477
Fe 0.7523 0.7523 0.7523
Tc 0.5000 0.5000 0.5000
W 0.0000 0.0000 0.0000

Calculated total energy ... -9.7815 eV/atom
ΔE_f ... 0.280 eV per atom
SG ... No. 166

# 7
A plane-wave DFT calculation with PBE was carried out for Fe2TcW after structural relaxation.

a = 4.2045 Å, b = 4.2045 Å, c = 3.0387 Å
α = 90.00°, β = 90.00°, γ = 90.00°
Sites, in units of the cell vectors:
Fe 0.0000 0.5000 0.0000
Fe 0.5000 0.0000 0.0000
Tc 0.0000 0.0000 0.5000
W 0.5000 0.5000 0.5000

Calculated total energy ... -9.9092 eV/atom
ΔE_f ... 0.152 eV per atom
SG ... No. 123

# 8
A plane-wave DFT calculation with PBE was carried out for Fe3TcW after structural relaxation.

a = 4.4063 Å, b = 4.4063 Å, c = 4.4063 Å
α = 90.00°, β = 90.00°, γ = 90.00°
Sites, in units of the cell vectors:
Fe 0.0000 0.0000 0.5000
Fe 0.0000 0.5000 0.0000
Fe 0.5000 0.0000 0.0000
Tc 0.5000 0.5000 0.5000
W 0.0000 0.0000 0.0000

Calculated total energy ... -7.9271 eV/atom
ΔE_f ... 1.814 eV per atom
SG ... No. 221